No. 1
{"formula": "SnSbBr3", "functional": "GGA-PBEsol", "state": "optimized geometry", "cell": [[-2.7948, -0.8505, 4.7581], [-3.8202, -2.9785, -2.7763], [2.9612, -4.6453, 0.9090]], "species": ["Br", "Sn", "Br", "Br", "Sb"], "frac_coords": [[0.0000, 0.0000, 0.5000], [0.0000, 0.0000, 0.0000], [0.5000, 0.0000, 0.0000], [0.0000, 0.5000, 0.0000], [0.5000, 0.5000, 0.5000]], "density_g_cm3": 4.581, "space_group": "Pm-3m (221)"}

No. 2
{"formula": "YSnSbBr2", "functional": "GGA-PBEsol", "state": "optimized geometry", "cell": [[-4.9128, -1.7285, 0.9815], [1.7554, -2.5450, 4.3044], [-1.0341, 4.7854, 3.2512]], "species": ["Sb", "Y", "Br", "Sn", "Br"], "frac_coords": [[0.0000, 0.0000, 0.5000], [0.5000, 0.5000, 0.5000], [0.5000, 0.0000, 0.0000], [0.0000, 0.0000, 0.0000], [0.0000, 0.5000, 0.0000]], "density_g_cm3": 4.921, "space_group": "P4/mmm (123)"}

No. 3
{"formula": "SrSbBr2", "functional": "GGA-PBEsol", "state": "optimized geometry", "cell": [[-2.7422, 1.5018, -4.0707], [-4.2377, -1.0075, 2.7152], [3.4856, 4.2887, 2.3541]], "species": ["Sb", "Br", "Sr", "Br"], "frac_coords": [[0.5000, 0.5000, 0.0000], [0.0000, 0.5000, 0.5000], [0.0000, 0.0000, 0.0000], [0.5000, 0.0000, 0.5000]], "density_g_cm3": 4.815, "de_polymorph_ev_per_atom": 0.092, "space_group": "Fmmm (69)"}

Calculated values (eV per formula unit) of energy relative to the elements, uncorrected for the records, taken in order: 0.045; -0.719; -3.911.